# PBE RbAlI2N, optimized geometry
# theoretical density = 2.5 Mg/m³
# ΔE_f (raw) = 0.81 eV/atom
# uncorrected energy = -2.419 eV/atom
# offset from the most stable computed form = 1.204 eV/atom
data_RbAlI2N
_cell_length_a 6.821
_cell_length_b 6.821
_cell_length_c 5.523
_cell_angle_alpha 90.00
_cell_angle_beta 90.00
_cell_angle_gamma 90.00
_symmetry_space_group_name_H-M 'P 4/m m m'
_symmetry_Int_Tables_number 123
_symmetry_space_group_name_Hall '-P 4 2'
loop_
_atom_site_label
_atom_site_type_symbol
_atom_site_fract_x
_atom_site_fract_y
_atom_site_fract_z
Rb1 Rb 0.000 0.000 0.000
Al1 Al 0.500 0.500 0.500
I1 I 0.000 0.500 0.000
N1 N 0.000 0.000 0.500